Entry 1:
! PBE RbAcBi2, optimized geometry; values from VASP
&SYSTEM
  ibrav = 0, nat = 4, ntyp = 3
/
ATOMIC_SPECIES
Rb 85.47 Rb.upf
Ac 227.00 Ac.upf
Bi 208.98 Bi.upf
ATOMIC_POSITIONS crystal
Rb 0.000 0.000 0.000
Ac 0.500 0.500 0.500
Bi 0.250 0.250 0.250
Bi 0.750 0.750 0.750
CELL_PARAMETERS angstrom
0.000 4.252 4.252
4.252 0.000 4.252
4.252 4.252 0.000
! Space group: Fm-3m, No. 225
! DOS at the Fermi energy (states/eV per cell): 5.50
! Formation energy from the elements (eV/f.u.): -1.58
! Mass density (g/cm³): 7.89
! Total magnetization (μB/cell): 0.00

***

Entry 2:
! PBE RbAcBi2, optimized geometry; values from VASP
&SYSTEM
  ibrav = 0, nat = 4, ntyp = 3
/
ATOMIC_SPECIES
Rb 85.47 Rb.upf
Ac 227.00 Ac.upf
Bi 208.98 Bi.upf
ATOMIC_POSITIONS crystal
Rb 0.000 0.000 0.000
Ac 0.500 0.500 0.500
Bi 0.231 0.231 0.231
Bi 0.769 0.769 0.769
CELL_PARAMETERS angstrom
2.614 1.509 8.093
-2.614 1.509 8.093
0.000 -3.018 8.093
! Space group: R-3m, No. 166
! DOS at the Fermi energy (states/eV per cell): 4.25
! Formation energy from the elements (eV/f.u.): -1.55
! Mass density (g/cm³): 6.33
! Total magnetization (μB/cell): 0.00

***

Entry 3:
! PBE RbAcBi, optimized geometry; values from VASP
&SYSTEM
  ibrav = 0, nat = 6, ntyp = 3
/
ATOMIC_SPECIES
Rb 85.47 Rb.upf
Ac 227.00 Ac.upf
Bi 208.98 Bi.upf
ATOMIC_POSITIONS crystal
Rb 0.185 0.185 0.000
Rb 0.815 0.815 0.000
Ac 0.000 0.500 0.500
Ac 0.500 0.000 0.500
Bi 0.384 0.384 0.000
Bi 0.616 0.616 0.000
CELL_PARAMETERS angstrom
-2.715 2.715 9.777
2.715 -2.715 9.777
2.715 2.715 -9.777
! Space group: I4/mmm, No. 139
! DOS at the Fermi energy (states/eV per cell): 3.37
! Formation energy from the elements (eV/f.u.): -1.49
! Mass density (g/cm³): 6.01
! Total magnetization (μB/cell): 0.00

***

Entry 4:
! PBE RbAcBi2, optimized geometry; values from VASP
&SYSTEM
  ibrav = 0, nat = 4, ntyp = 3
/
ATOMIC_SPECIES
Rb 85.47 Rb.upf
Ac 227.00 Ac.upf
Bi 208.98 Bi.upf
ATOMIC_POSITIONS crystal
Rb 0.000 0.000 0.000
Ac 0.000 0.000 0.500
Bi 0.500 0.500 0.306
Bi 0.500 0.500 0.694
CELL_PARAMETERS angstrom
4.544 0.000 0.000
0.000 4.544 0.000
0.000 0.000 8.117
! Space group: P4/mmm, No. 123
! DOS at the Fermi energy (states/eV per cell): 1.52
! Formation energy from the elements (eV/f.u.): -2.35
! Mass density (g/cm³): 7.24
! Total magnetization (μB/cell): 0.00

***

Entry 5:
! PBE RbAcBi, optimized geometry; values from VASP
&SYSTEM
  ibrav = 0, nat = 3, ntyp = 3
/
ATOMIC_SPECIES
Rb 85.47 Rb.upf
Ac 227.00 Ac.upf
Bi 208.98 Bi.upf
ATOMIC_POSITIONS crystal
Rb 0.000 0.000 0.000
Ac 0.260 0.260 0.000
Bi 0.701 0.701 0.000
CELL_PARAMETERS angstrom
-2.296 2.296 7.733
2.296 -2.296 7.733
2.296 2.296 -7.733
! Space group: I4mm, No. 107
! DOS at the Fermi energy (states/eV per cell): 1.66
! Formation energy from the elements (eV/f.u.): -1.07
! Mass density (g/cm³): 5.31
! Total magnetization (μB/cell): 0.00

***

Entry 6:
! PBE RbAcBi, optimized geometry; values from VASP
&SYSTEM
  ibrav = 0, nat = 3, ntyp = 3
/
ATOMIC_SPECIES
Rb 85.47 Rb.upf
Ac 227.00 Ac.upf
Bi 208.98 Bi.upf
ATOMIC_POSITIONS crystal
Rb 0.000 0.000 0.000
Ac 0.500 0.500 0.500
Bi 0.750 0.750 0.750
CELL_PARAMETERS angstrom
0.000 4.125 4.125
4.125 0.000 4.125
4.125 4.125 0.000
! Space group: F-43m, No. 216
! DOS at the Fermi energy (states/eV per cell): 1.99
! Formation energy from the elements (eV/f.u.): -0.79
! Mass density (g/cm³): 6.17
! Total magnetization (μB/cell): 0.00

***

Entry 7:
! PBE RbAcBi, optimized geometry; values from VASP
&SYSTEM
  ibrav = 0, nat = 3, ntyp = 3
/
ATOMIC_SPECIES
Rb 85.47 Rb.upf
Ac 227.00 Ac.upf
Bi 208.98 Bi.upf
ATOMIC_POSITIONS crystal
Rb 0.000 0.000 0.000
Ac 0.667 0.333 0.502
Bi 0.333 0.667 0.476
CELL_PARAMETERS angstrom
5.713 0.000 0.000
-2.857 4.948 0.000
0.000 0.000 5.434
! Space group: P3m1, No. 156
! DOS at the Fermi energy (states/eV per cell): 1.27
! Formation energy from the elements (eV/f.u.): -0.77
! Mass density (g/cm³): 5.64
! Total magnetization (μB/cell): 0.00

***

Entry 8:
! PBE RbAcBi4, optimized geometry; values from VASP
&SYSTEM
  ibrav = 0, nat = 6, ntyp = 3
/
ATOMIC_SPECIES
Rb 85.47 Rb.upf
Ac 227.00 Ac.upf
Bi 208.98 Bi.upf
ATOMIC_POSITIONS crystal
Rb 0.000 0.000 0.000
Ac 0.750 0.750 0.750
Bi 0.375 0.375 0.375
Bi 0.375 0.375 0.874
Bi 0.375 0.874 0.375
Bi 0.874 0.375 0.375
CELL_PARAMETERS angstrom
0.000 4.779 4.779
4.779 0.000 4.779
4.779 4.779 0.000
! Space group: F-43m, No. 216
! DOS at the Fermi energy (states/eV per cell): 3.73
! Formation energy from the elements (eV/f.u.): -1.85
! Mass density (g/cm³): 8.73
! Total magnetization (μB/cell): 0.00

***

Entry 9:
! PBE RbAcBi2, optimized geometry; values from VASP
&SYSTEM
  ibrav = 0, nat = 4, ntyp = 3
/
ATOMIC_SPECIES
Rb 85.47 Rb.upf
Ac 227.00 Ac.upf
Bi 208.98 Bi.upf
ATOMIC_POSITIONS crystal
Rb 0.000 0.000 0.000
Ac 0.500 0.500 0.000
Bi 0.000 0.500 0.500
Bi 0.500 0.000 0.500
CELL_PARAMETERS angstrom
5.642 0.000 0.000
0.000 5.642 0.000
0.000 0.000 4.712
! Space group: P4/mmm, No. 123
! DOS at the Fermi energy (states/eV per cell): 2.44
! Formation energy from the elements (eV/f.u.): -1.80
! Mass density (g/cm³): 8.09
! Total magnetization (μB/cell): 0.00

***

Entry 10:
! PBE Rb2AcBiS4, optimized geometry; values from VASP
&SYSTEM
  ibrav = 0, nat = 8, ntyp = 4
/
ATOMIC_SPECIES
Rb 85.47 Rb.upf
Ac 227.00 Ac.upf
Bi 208.98 Bi.upf
S 32.06 S.upf
ATOMIC_POSITIONS crystal
Rb 0.000 0.000 0.000
Rb 0.500 0.500 0.000
Ac 0.000 0.500 0.500
Bi 0.500 0.000 0.500
S 0.244 0.000 0.704
S 0.276 0.500 0.299
S 0.724 0.500 0.701
S 0.756 0.000 0.296
CELL_PARAMETERS angstrom
7.465 0.000 0.000
0.000 4.343 0.000
-2.507 0.000 7.742
! Raw formation energy (meV per atom): -1323
! Space group: P2/m, No. 10
! DOS at the Fermi energy (states/eV per cell): 0.00
! Mass density (g/cm³): 4.86
! Total magnetization (μB/cell): 0.00

***

Entry 11:
! PBE Rb3Ac3BiSe8, optimized geometry; values from VASP
&SYSTEM
  ibrav = 0, nat = 15, ntyp = 4
/
ATOMIC_SPECIES
Rb 85.47 Rb.upf
Ac 227.00 Ac.upf
Bi 208.98 Bi.upf
Se 78.96 Se.upf
ATOMIC_POSITIONS crystal
Rb 0.000 0.500 0.500
Rb 0.500 0.000 0.500
Rb 0.500 0.500 0.000
Ac 0.000 0.000 0.500
Ac 0.000 0.500 0.000
Ac 0.500 0.000 0.000
Bi 0.500 0.500 0.500
Se 0.236 0.236 0.236
Se 0.252 0.723 0.723
Se 0.277 0.277 0.748
Se 0.277 0.748 0.277
Se 0.723 0.252 0.723
Se 0.723 0.723 0.252
Se 0.748 0.277 0.277
Se 0.764 0.764 0.764
CELL_PARAMETERS angstrom
4.515 2.607 8.196
-4.515 2.607 8.196
0.000 -5.213 8.196
! Raw formation energy (meV per atom): -1447
! Space group: R-3m, No. 166
! DOS at the Fermi energy (states/eV per cell): 16.58
! Mass density (g/cm³): 5.10
! Total magnetization (μB/cell): 0.00

***

Entry 12:
! PBE Rb3Ac3BiTe8, optimized geometry; values from VASP
&SYSTEM
  ibrav = 0, nat = 15, ntyp = 4
/
ATOMIC_SPECIES
Rb 85.47 Rb.upf
Ac 227.00 Ac.upf
Bi 208.98 Bi.upf
Te 127.60 Te.upf
ATOMIC_POSITIONS crystal
Rb 0.000 0.000 0.000
Rb 0.000 0.500 0.000
Rb 0.500 0.000 0.000
Ac 0.000 0.500 0.500
Ac 0.500 0.000 0.500
Ac 0.500 0.500 0.500
Bi 0.000 0.000 0.500
Te 0.228 0.228 0.704
Te 0.228 0.748 0.704
Te 0.252 0.772 0.296
Te 0.262 0.262 0.286
Te 0.738 0.738 0.714
Te 0.748 0.228 0.704
Te 0.772 0.252 0.296
Te 0.772 0.772 0.296
CELL_PARAMETERS angstrom
8.296 -4.782 0.000
8.296 4.782 0.000
-5.540 0.000 8.772
! Raw formation energy (meV per atom): -1159
! Space group: C2/m, No. 12
! DOS at the Fermi energy (states/eV per cell): 22.89
! Mass density (g/cm³): 5.17
! Total magnetization (μB/cell): 0.00